Density functional theory data (GGA-PBE) for CeHo2Zr3N6 after structural relaxation.

Summary:
DOS(E_F) = 5.1 states/eV/f.u.

a b c (Å): 5.7998 10.0603 5.8751
angles (deg): 90.00 109.18 90.00
With the nearest neighbours (Å) after each atom.
Space group C2/m (No. 12)
Asymmetric unit:
Ce 0.0000 0.0000 0.0000  6 N 2.44-2.45
Ho 0.0000 0.3333 0.0000  6 N 2.43
Zr 0.0000 0.1678 0.5000  6 N 2.31-2.35
Zr 0.0000 0.5000 0.5000  6 N 2.32-2.33
N 0.2429 0.3321 0.7324  3 Zr 2.31-2.33, 2 Ho 2.43, 1 Ce 2.45
N 0.2472 0.0000 0.7345  3 Zr 2.32-2.35, 2 Ho 2.43, 1 Ce 2.44

Density functional theory data (GGA-PBE) for Ce2HoZr3N6 after structural relaxation.

Summary:
DOS(E_F) = 5.5 states/eV/f.u.

a b c (Å): 14.8216 3.3574 6.8287
angles (deg): 90.00 104.25 90.00
With the nearest neighbours (Å) after each atom.
Space group C2/m (No. 12)
Asymmetric unit:
Ce 0.1668 0.0000 0.3338  6 N 2.46-2.50
Ho 0.0000 0.5000 0.0000  6 N 2.44
Zr 0.0000 0.5000 0.5000  6 N 2.30-2.35
Zr 0.1651 0.0000 0.8335  6 N 2.31-2.38
N 0.0042 0.0000 0.7431  3 Zr 2.31-2.35, 2 Ho 2.44, 1 Ce 2.46
N 0.1599 0.5000 0.5995  3 Zr 2.30-2.31, 3 Ce 2.49-2.50
N 0.1693 0.5000 0.0698  3 Zr 2.32-2.38, 1 Ho 2.44, 2 Ce 2.47

Density functional theory data (GGA-PBE) for Ce2HoZrN4 after structural relaxation.

Summary:
DOS(E_F) = 5.4 states/eV/f.u.

a b c (Å): 5.9573 3.4319 6.0326
angles (deg): 90.00 109.15 90.00
With the nearest neighbours (Å) after each atom.
Space group P2/m (No. 10)
Asymmetric unit:
Ce 0.0000 0.0000 0.0000  6 N 2.53-2.54
Ce 0.5000 0.5000 0.0000  6 N 2.47
Ho 0.0000 0.5000 0.5000  6 N 2.42
Zr 0.5000 0.0000 0.5000  6 N 2.34-2.36
N 0.2560 0.0000 0.7356  1 Zr 2.34, 2 Ho 2.42, 3 Ce 2.47-2.54
N 0.2654 0.5000 0.2700  2 Zr 2.36, 1 Ho 2.42, 3 Ce 2.47-2.53

Density functional theory data (GGA-PBE) for Ce3Ho2ZrN6 after structural relaxation.

Summary:
DOS(E_F) = 8.3 states/eV/f.u.

a b c (Å): 5.9941 10.3781 6.0453
angles (deg): 90.00 109.30 90.00
With the nearest neighbours (Å) after each atom.
Space group C2/m (No. 12)
Asymmetric unit:
Ce 0.0000 0.0000 0.0000  6 N 2.47-2.55
Ce 0.0000 0.3330 0.0000  6 N 2.47-2.56
Ho 0.0000 0.1667 0.5000  6 N 2.44-2.45
Zr 0.0000 0.5000 0.5000  6 N 2.35-2.36
N 0.2391 0.3396 0.7357  1 Zr 2.35, 2 Ho 2.44, 3 Ce 2.47-2.56
N 0.2417 0.5000 0.2618  1 Zr 2.36, 2 Ho 2.45, 3 Ce 2.47-2.55

Density functional theory data (GGA-PBE) for CeHo3Zr2N6 after structural relaxation.

Summary:
DOS(E_F) = 3.9 states/eV/f.u.

a b c (Å): 14.8220 3.3899 6.8155
angles (deg): 90.00 103.26 90.00
With the nearest neighbours (Å) after each atom.
Space group C2/m (No. 12)
Asymmetric unit:
Ce 0.0000 0.0000 0.0000  6 N 2.42-2.44
Ho 0.0000 0.0000 0.5000  6 N 2.39-2.46
Ho 0.1682 0.5000 0.8312  6 N 2.35-2.52
Zr 0.1692 0.5000 0.3388  6 N 2.31-2.36
N 0.0066 0.5000 0.2568  1 Zr 2.35, 3 Ho 2.39-2.52, 2 Ce 2.42
N 0.1692 0.0000 0.0974  3 Ho 2.35-2.48, 2 Zr 2.36, 1 Ce 2.44
N 0.1707 0.0000 0.5771  3 Zr 2.31-2.34, 3 Ho 2.43-2.46

Density functional theory data (GGA-PBE) for NaCe2Ho after structural relaxation.

Summary:
DOS(E_F) = 10.3 states/eV/f.u.
E_form = 233 meV/atom

a b c (Å): 3.3508 3.3508 38.4636
angles (deg): 90.00 90.00 120.00
With the nearest neighbours (Å) after each atom.
Space group R-3m (No. 166, hexagonal axes)
Asymmetric unit:
Na 0.0000 0.0000 0.0000  6 Na 3.35, 2 Ce 3.50
Ce 0.0000 0.0000 0.0910  6 Ce 3.35, 3 Ho 3.49, 1 Na 3.50
Ho 0.0000 0.0000 0.5000  6 Ho 3.35, 6 Ce 3.49

Density functional theory data (GGA-PBE) for Na3CeHo3S8 after structural relaxation.

a b c (Å): 7.9776 7.9776 20.0696
angles (deg): 90.00 90.00 120.00
With the nearest neighbours (Å) after each atom.
Space group R-3m (No. 166, hexagonal axes)
Asymmetric unit:
Na 0.0000 0.5000 0.0000  6 S 2.95-2.96
Ce 0.0000 0.0000 0.5000  6 S 2.73
Ho 0.0000 0.5000 0.5000  6 S 2.74-2.75
S 0.0000 0.0000 0.2418  3 Ho 2.75, 3 Na 2.95
S 0.0007 0.5003 0.2402  1 Ce 2.73, 2 Ho 2.74, 2 Na 2.96

Density functional theory data (GGA-PBE) for NaCeHo2S4 after structural relaxation.

Summary:
DOS(E_F) = 6.9 states/eV/f.u.

a b c (Å): 6.8544 3.9293 6.9237
angles (deg): 90.00 109.01 90.00
With the nearest neighbours (Å) after each atom.
Space group P2/m (No. 10)
Asymmetric unit:
Na 0.0000 0.0000 0.0000  6 S 2.84-2.86
Ce 0.5000 0.5000 0.0000  6 S 2.86
Ho 0.0000 0.5000 0.5000  6 S 2.75
Ho 0.5000 0.0000 0.5000  6 S 2.75-2.78
S 0.2434 0.0000 0.7381  3 Ho 2.75-2.78, 1 Na 2.84, 2 Ce 2.86
S 0.2544 0.5000 0.2636  3 Ho 2.75, 2 Na 2.86, 1 Ce 2.86

Density functional theory data (GGA-PBE) for Na3CeHo2S6 after structural relaxation.

Summary:
DOS(E_F) = 4.8 states/eV/f.u.

a b c (Å): 6.9777 12.0870 7.0616
angles (deg): 90.00 109.24 90.00
With the nearest neighbours (Å) after each atom.
Space group C2/m (No. 12)
Asymmetric unit:
Na 0.0000 0.0000 0.0000  6 S 2.90-2.98
Na 0.0000 0.3333 0.0000  6 S 2.90-2.98
Ce 0.0000 0.5000 0.5000  6 S 2.83
Ho 0.0000 0.1667 0.5000  6 S 2.75-2.76
S 0.2337 0.0000 0.7286  2 Ho 2.76, 1 Ce 2.83, 3 Na 2.90-2.97
S 0.2471 0.3288 0.7277  2 Ho 2.75, 1 Ce 2.83, 3 Na 2.90-2.98

Density functional theory data (GGA-PBE) for NaCeHoS4 after structural relaxation.

a b c (Å): 8.0049 8.3648 11.4865
angles (deg): 90.00 90.00 90.00
With the nearest neighbours (Å) after each atom.
Space group Imma (No. 74)
Asymmetric unit:
Na 0.0000 0.2500 0.1345  4 S 2.76-2.78
Ce 0.0000 0.0000 0.5000  6 S 2.73-2.75
Ho 0.2500 0.2500 0.7500  6 S 2.73-2.74
S 0.0000 0.0282 0.7364  1 Ce 2.73, 2 Ho 2.73, 1 Na 2.76
S 0.2233 0.2500 0.5118  1 Ho 2.74, 2 Ce 2.75, 1 Na 2.78

Density functional theory data (GGA-PBE) for Na3CeHo3Se8 after structural relaxation.

a b c (Å): 14.3365 8.2788 8.4928
angles (deg): 90.00 124.29 90.00
With the nearest neighbours (Å) after each atom.
Space group C2/m (No. 12)
Asymmetric unit:
Na 0.0000 0.0000 0.0000  6 Se 3.05-3.07
Na 0.2500 0.2500 0.0000  6 Se 3.06-3.07
Ce 0.0000 0.0000 0.5000  6 Se 2.87
Ho 0.0000 0.5000 0.5000  6 Se 2.86-2.88
Ho 0.2500 0.2500 0.5000  6 Se 2.86-2.88
Se 0.0084 0.2509 0.2746  2 Ho 2.86, 1 Ce 2.87, 2 Na 3.07
Se 0.2425 0.0000 0.7254  2 Ho 2.86, 1 Ce 2.87, 2 Na 3.07
Se 0.2430 0.5000 0.7287  3 Ho 2.88, 3 Na 3.05-3.06

Density functional theory data (GGA-PBE) for NaCe2HoSe4 after structural relaxation.

Summary:
DOS(E_F) = 13.2 states/eV/f.u.

a b c (Å): 7.2318 4.1583 7.2496
angles (deg): 90.00 109.22 90.00
With the nearest neighbours (Å) after each atom.
Space group P2/m (No. 10)
Asymmetric unit:
Na 0.0000 0.0000 0.0000  6 Se 2.92-2.94
Ce 0.0000 0.5000 0.5000  6 Se 3.01
Ce 0.5000 0.0000 0.5000  6 Se 2.97-2.99
Ho 0.5000 0.5000 0.0000  6 Se 2.89-2.90
Se 0.2531 0.5000 0.2427  1 Ho 2.89, 2 Na 2.94, 3 Ce 2.97-3.01
Se 0.2566 0.0000 0.7622  2 Ho 2.90, 1 Na 2.92, 3 Ce 2.99-3.01

Density functional theory data (GGA-PBE) for Na2Ce3HoSe6 after structural relaxation.

Summary:
DOS(E_F) = 21.1 states/eV/f.u.

a b c (Å): 7.2844 12.5964 7.2841
angles (deg): 90.00 109.32 90.00
With the nearest neighbours (Å) after each atom.
Space group C2/m (No. 12)
Asymmetric unit:
Na 0.0000 0.1653 0.0000  6 Se 2.97-2.99
Ce 0.0000 0.0000 0.5000  6 Se 2.98-3.04
Ce 0.0000 0.3285 0.5000  6 Se 2.98-3.02
Ho 0.0000 0.5000 0.0000  6 Se 2.89-2.91
Se 0.2399 0.5000 0.7509  1 Ho 2.91, 2 Na 2.99, 3 Ce 2.99-3.04
Se 0.2431 0.3380 0.2426  1 Ho 2.89, 2 Na 2.97-2.99, 3 Ce 2.98-3.02

Density functional theory data (GGA-PBE) for Na3CeHo2Se6 after structural relaxation.

Summary:
DOS(E_F) = 5.1 states/eV/f.u.

a b c (Å): 7.2552 12.5689 7.3943
angles (deg): 90.00 109.11 90.00
With the nearest neighbours (Å) after each atom.
Space group C2/m (No. 12)
Asymmetric unit:
Na 0.0000 0.0000 0.0000  6 Se 3.01-3.09
Na 0.0000 0.3343 0.0000  6 Se 3.02-3.09
Ce 0.0000 0.5000 0.5000  6 Se 2.96-2.97
Ho 0.0000 0.1668 0.5000  6 Se 2.88
Se 0.2345 0.0000 0.7314  2 Ho 2.88, 1 Ce 2.97, 3 Na 3.01-3.08
Se 0.2483 0.3287 0.7307  2 Ho 2.88, 1 Ce 2.96, 3 Na 3.02-3.09

Density functional theory data (GGA-PBE) for Na3Ce3HoSe8 after structural relaxation.

Summary:
DOS(E_F) = 13.5 states/eV/f.u.

a b c (Å): 8.4899 8.4899 20.8964
angles (deg): 90.00 90.00 120.00
With the nearest neighbours (Å) after each atom.
Space group R-3m (No. 166, hexagonal axes)
Asymmetric unit:
Na 0.0000 0.5000 0.0000  6 Se 3.07-3.09
Ce 0.0000 0.5000 0.5000  6 Se 2.93-2.95
Ho 0.0000 0.0000 0.5000  6 Se 2.88
Se 0.0000 0.0000 0.2452  3 Ce 2.95, 3 Na 3.07
Se 0.0056 0.5028 0.2420  1 Ho 2.88, 2 Ce 2.93, 2 Na 3.09

Density functional theory data (GGA-PBE) for Na4CeHo3Te8 after structural relaxation.

Summary:
DOS(E_F) = 8.4 states/eV/f.u.

a b c (Å): 8.9040 8.9040 22.6602
angles (deg): 90.00 90.00 120.00
With the nearest neighbours (Å) after each atom.
Space group R-3m (No. 166, hexagonal axes)
Asymmetric unit:
Na 0.0000 0.0000 0.0000  6 Te 3.21
Na 0.0000 0.5000 0.0000  6 Te 3.28-3.29
Ce 0.0000 0.0000 0.5000  6 Te 3.17
Ho 0.0000 0.5000 0.5000  6 Te 3.10
Te 0.0000 0.0000 0.2434  3 Ho 3.10, 3 Na 3.28
Te 0.0082 0.5041 0.7552  2 Ho 3.10, 1 Ce 3.17, 3 Na 3.21-3.29

Density functional theory data (GGA-PBE) for Na2CeHoTe4 after structural relaxation.

Summary:
DOS(E_F) = 6.4 states/eV/f.u.

a b c (Å): 7.7903 4.4961 7.9658
angles (deg): 90.00 108.98 90.00
With the nearest neighbours (Å) after each atom.
Space group P2/m (No. 10)
Asymmetric unit:
Na 0.0000 0.0000 0.0000  6 Te 3.31
Na 0.5000 0.5000 0.0000  6 Te 3.23-3.24
Ce 0.0000 0.5000 0.5000  6 Te 3.18-3.19
Ho 0.5000 0.0000 0.5000  6 Te 3.10-3.11
Te 0.2542 0.0000 0.7375  1 Ho 3.10, 2 Ce 3.18, 3 Na 3.24-3.31
Te 0.2638 0.5000 0.2669  2 Ho 3.11, 1 Ce 3.19, 3 Na 3.23-3.31

Density functional theory data (GGA-PBE) for NaCe2Ho3Te6 after structural relaxation.

Summary:
DOS(E_F) = 16.6 states/eV/f.u.

a b c (Å): 19.3557 4.3693 8.9412
angles (deg): 90.00 104.16 90.00
With the nearest neighbours (Å) after each atom.
Space group C2/m (No. 12)
Asymmetric unit:
Na 0.0000 0.0000 0.0000  6 Te 3.15-3.16
Ce 0.1695 0.5000 0.3383  6 Te 3.16-3.22
Ho 0.0000 0.0000 0.5000  6 Te 3.05-3.09
Ho 0.1669 0.5000 0.8277  6 Te 3.04-3.10
Te 0.0020 0.5000 0.7456  3 Ho 3.09-3.10, 2 Na 3.16, 1 Ce 3.22
Te 0.1625 0.0000 0.5890  3 Ho 3.04-3.05, 3 Ce 3.16
Te 0.1678 0.0000 0.0735  3 Ho 3.10, 1 Na 3.15, 2 Ce 3.22

Density functional theory data (GGA-PBE) for Ce2HoNb after structural relaxation.

Summary:
DOS(E_F) = 10.2 states/eV/f.u.
E_form = 298 meV/atom

a b c (Å): 3.2909 3.2909 32.7384
angles (deg): 90.00 90.00 120.00
With the nearest neighbours (Å) after each atom.
Space group R-3m (No. 166, hexagonal axes)
Asymmetric unit:
Ce 0.0000 0.0000 0.2438  3 Nb 3.16, 6 Ce 3.29, 3 Ho 3.49
Ho 0.0000 0.0000 0.0000  6 Ho 3.29, 6 Ce 3.49
Nb 0.0000 0.0000 0.5000  6 Ce 3.16, 6 Nb 3.29

Density functional theory data (GGA-PBE) for CeNdHo after structural relaxation.

Summary:
DOS(E_F) = 7.2 states/eV/f.u.
E_form = 331 meV/atom

a b c (Å): 8.4652 8.4652 5.7034
angles (deg): 90.00 90.00 90.00
With the nearest neighbours (Å) after each atom.
Space group P4_2/mmc (No. 131)
Asymmetric unit:
Ce 0.0000 0.3437 0.0000  1 Ce 2.65
Nd 0.2776 0.5000 0.5000  2 Ho 3.56, 5 Nd 3.77-3.90, 4 Ce 3.93
Ho 0.0000 0.1837 0.5000  1 Ho 3.11, 4 Ce 3.16-3.30

no.,DFT total energy (eV per cell),magnetization (μB per cell)
1,-222.26,0.0
2,-224.32,0.0
3,-71.29,0.0
4,-209.79,0.0
5,-214.05,0.0
6,-50.49,5.7
7,-251.66,0.0
8,-48.21,1.2
9,-130.97,2.0
10,-163.25,0.0
11,-153.21,0.0
12,-45.32,2.5
13,-131.95,7.8
14,-120.04,2.0
15,-236.97,6.0
16,-212.21,3.0
17,-35.95,1.0
18,-123.04,4.9
19,-75.97,0.0
20,-57.14,3.0